[1]
# SmHo5Mg6

A geometry-optimized SmHo5Mg6 structure (PBE, Alexandria via LeMat-Bulk).

a b c (Å): 5.3634 7.5487 8.4826
angles (deg): 90.00 71.57 90.00
Element x y z (fractional)
Mg 0.8322 0.7484 0.3355
Mg 0.8322 0.2516 0.3355
Mg 0.5000 0.2515 0.0000
Mg 0.5000 0.7485 0.0000
Mg 0.1678 0.7484 0.6645
Mg 0.1678 0.2516 0.6645
Ho 0.6657 0.5000 0.6686
Ho 0.3322 0.0000 0.3356
Ho 0.0000 0.5000 0.0000
Ho 0.6678 0.0000 0.6644
Ho 0.3343 0.5000 0.3314
Sm 0.0000 0.0000 0.0000

- symmetry = Cmmm
- Fermi-level density of states (states/eV/f.u.) = 16.34
- formation energy (kJ/mol of formula units) = -90

---

[2]
# Sm8HoMg6

A geometry-optimized Sm8HoMg6 structure (PBE, Alexandria via LeMat-Bulk).

a b c (Å): 9.2091 9.2091 8.4487
angles (deg): 56.98 56.98 60.00
Element x y z (fractional)
Sm 0.5512 0.2141 0.3526
Sm 0.7859 0.1179 0.6474
Sm 0.1179 0.4488 0.6474
Sm 0.6666 0.6666 0.0002
Sm 0.3334 0.3334 0.9998
Sm 0.8821 0.5512 0.3526
Sm 0.2141 0.8821 0.3526
Sm 0.4488 0.7859 0.6474
Ho 0.0000 0.0000 0.0000
Mg 0.3790 0.0466 0.8595
Mg 0.9534 0.2851 0.1405
Mg 0.2851 0.6210 0.1405
Mg 0.7149 0.3790 0.8595
Mg 0.0466 0.7149 0.8595
Mg 0.6210 0.9534 0.1405

- symmetry = R-3
- Fermi-level density of states (states/eV/f.u.) = 23.27
- formation energy (kJ/mol of formula units) = 242

---

[3]
# Sm7Ho2Mg2

A geometry-optimized Sm7Ho2Mg2 structure (PBE, Alexandria via LeMat-Bulk).

a b c (Å): 5.7958 8.1209 8.1209
angles (deg): 85.91 74.25 74.25
Element x y z (fractional)
Sm 0.1861 0.0148 0.5996
Sm 0.8139 0.4004 0.9852
Sm 0.8139 0.9852 0.4004
Sm 0.1861 0.5996 0.0148
Sm 0.0000 0.0000 0.0000
Sm 0.6642 0.7692 0.7692
Sm 0.3358 0.2308 0.2308
Ho 0.5000 0.2202 0.7798
Ho 0.5000 0.7798 0.2202
Mg 0.7811 0.4403 0.4403
Mg 0.2189 0.5597 0.5597

- symmetry = C2/m
- Fermi-level density of states (states/eV/f.u.) = 12.88
- formation energy (kJ/mol of formula units) = 154

---

[4]
# Sm4HoMg5

A geometry-optimized Sm4HoMg5 structure (PBE, Alexandria via LeMat-Bulk).

a b c (Å): 3.8283 3.8283 19.2273
angles (deg): 90.00 90.00 90.00
Element x y z (fractional)
Sm 0.0000 0.0000 0.1970
Sm 0.0000 0.0000 0.3988
Sm 0.0000 0.0000 0.6012
Sm 0.0000 0.0000 0.8030
Ho 0.0000 0.0000 0.0000
Mg 0.5000 0.5000 0.0962
Mg 0.5000 0.5000 0.2979
Mg 0.5000 0.5000 0.5000
Mg 0.5000 0.5000 0.7021
Mg 0.5000 0.5000 0.9038

- symmetry = P4/mmm
- Fermi-level density of states (states/eV/f.u.) = 12.90
- formation energy (kJ/mol of formula units) = -91

---

[5]
# SmHo7Mg2

A geometry-optimized SmHo7Mg2 structure (PBE, Alexandria via LeMat-Bulk).

a b c (Å): 5.2838 9.2045 9.2045
angles (deg): 123.31 90.00 90.00
Element x y z (fractional)
Sm 0.0000 0.0000 0.0000
Ho 0.0000 0.7882 0.2118
Ho 0.0000 0.2118 0.7882
Ho 0.5000 0.0684 0.2954
Ho 0.5000 0.9316 0.7046
Ho 0.5000 0.2954 0.0684
Ho 0.5000 0.7046 0.9316
Ho 0.5000 0.5000 0.5000
Mg 0.5000 0.7016 0.2984
Mg 0.5000 0.2984 0.7016

- symmetry = Cmmm
- Fermi-level density of states (states/eV/f.u.) = 19.49
- formation energy (kJ/mol of formula units) = 570

---

[6]
# Sm2HoMg9

A geometry-optimized Sm2HoMg9 structure (PBE, Alexandria via LeMat-Bulk).

a b c (Å): 6.0592 6.0592 10.3705
angles (deg): 73.01 73.01 60.00
Element x y z (fractional)
Sm 0.8583 0.8583 0.4251
Sm 0.1417 0.1417 0.5749
Ho 0.0000 0.0000 0.0000
Mg 0.6660 0.6660 0.0019
Mg 0.3340 0.3340 0.9981
Mg 0.5000 0.5000 0.5000
Mg 0.4146 0.4146 0.2499
Mg 0.9208 0.4146 0.2499
Mg 0.4146 0.9208 0.2499
Mg 0.5854 0.5854 0.7501
Mg 0.5854 0.0792 0.7501
Mg 0.0792 0.5854 0.7501

- symmetry = R-3m
- Fermi-level density of states (states/eV/f.u.) = 11.70
- formation energy (kJ/mol of formula units) = -40

---

[7]
# Sm4Ho5Mg

A geometry-optimized Sm4Ho5Mg structure (PBE, Alexandria via LeMat-Bulk).

a b c (Å): 3.5866 3.5866 24.3653
angles (deg): 90.00 90.00 90.00
Element x y z (fractional)
Sm 0.0000 0.0000 0.1895
Sm 0.0000 0.0000 0.3967
Sm 0.0000 0.0000 0.6033
Sm 0.0000 0.0000 0.8105
Ho 0.5000 0.5000 0.0881
Ho 0.5000 0.5000 0.2932
Ho 0.5000 0.5000 0.5000
Ho 0.5000 0.5000 0.7068
Ho 0.5000 0.5000 0.9119
Mg 0.0000 0.0000 0.0000

- symmetry = P4/mmm
- Fermi-level density of states (states/eV/f.u.) = 13.33
- formation energy (kJ/mol of formula units) = 1

---

[8]
# Sm2Ho3Mg2

A geometry-optimized Sm2Ho3Mg2 structure (PBE, Alexandria via LeMat-Bulk).

a b c (Å): 3.5250 3.4947 17.1418
angles (deg): 90.00 95.90 90.00
Element x y z (fractional)
Sm 0.2952 0.5000 0.5904
Sm 0.7048 0.5000 0.4096
Ho 0.4278 0.5000 0.8556
Ho 0.5722 0.5000 0.1444
Ho 0.0000 0.0000 0.0000
Mg 0.1374 0.0000 0.2748
Mg 0.8626 0.0000 0.7252

- symmetry = Cmmm
- Fermi-level density of states (states/eV/f.u.) = 9.01
- formation energy (kJ/mol of formula units) = 27

---

[9]
# SmHo6Mg

A geometry-optimized SmHo6Mg structure (PBE, Alexandria via LeMat-Bulk).

a b c (Å): 5.2747 6.3697 8.7430
angles (deg): 67.88 72.44 65.54
Element x y z (fractional)
Sm 0.0000 0.5000 0.5000
Ho 0.2505 0.8566 0.6424
Ho 0.5101 0.2070 0.7727
Ho 0.2254 0.4327 0.1165
Ho 0.4899 0.7930 0.2273
Ho 0.7495 0.1434 0.3576
Ho 0.7746 0.5673 0.8835
Mg 0.0000 0.0000 0.0000

- symmetry = C2/m
- Fermi-level density of states (states/eV/f.u.) = 11.92
- formation energy (kJ/mol of formula units) = 30

---

[10]
# Sm5Ho4Mg

A geometry-optimized Sm5Ho4Mg structure (PBE, Alexandria via LeMat-Bulk).

a b c (Å): 3.5938 3.5938 24.4891
angles (deg): 90.00 90.00 90.00
Element x y z (fractional)
Sm 0.5000 0.5000 0.0908
Sm 0.5000 0.5000 0.2951
Sm 0.5000 0.5000 0.5000
Sm 0.5000 0.5000 0.7049
Sm 0.5000 0.5000 0.9092
Ho 0.0000 0.0000 0.1921
Ho 0.0000 0.0000 0.3974
Ho 0.0000 0.0000 0.6026
Ho 0.0000 0.0000 0.8079
Mg 0.0000 0.0000 0.0000

- symmetry = P4/mmm
- Fermi-level density of states (states/eV/f.u.) = 12.58
- formation energy (kJ/mol of formula units) = -2

---

[11]
# Sm6Ho2Mg

A geometry-optimized Sm6Ho2Mg structure (PBE, Alexandria via LeMat-Bulk).

a b c (Å): 5.0907 10.6550 10.6545
angles (deg): 90.00 90.00 90.00
Element x y z (fractional)
Sm 0.0000 0.0011 0.1672
Sm 0.9999 0.6672 0.5012
Sm 0.9998 0.6631 0.8369
Sm 0.5002 0.1631 0.6631
Sm 0.5001 0.1672 0.9988
Sm 0.5000 0.5011 0.3328
Sm 0.0000 0.9989 0.8328
Sm 0.0001 0.3328 0.4988
Sm 0.0002 0.3369 0.1631
Sm 0.4998 0.8369 0.3369
Sm 0.4999 0.8328 0.0012
Sm 0.5000 0.4989 0.6672
Ho 0.0001 0.3315 0.8315
Ho 0.4999 0.8315 0.6685
Ho 0.5001 0.1685 0.3315
Ho 0.9999 0.6685 0.1685
Mg 0.5000 0.5000 0.0000
Mg 0.0000 0.0000 0.5000

- symmetry = P4_2/mnm
- Fermi-level density of states (states/eV/f.u.) = 13.29
- formation energy (kJ/mol of formula units) = 19

---

[12]
# Sm4Ho4Mg

A geometry-optimized Sm4Ho4Mg structure (PBE, Alexandria via LeMat-Bulk).

a b c (Å): 9.1797 9.1797 13.0611
angles (deg): 78.37 78.37 140.23
Element x y z (fractional)
Sm 0.1427 0.8573 0.5000
Sm 0.1835 0.8165 0.0000
Sm 0.5188 0.8015 0.8326
Sm 0.1985 0.4812 0.1674
Sm 0.8015 0.5188 0.8326
Sm 0.4812 0.1985 0.1674
Sm 0.8165 0.1835 0.0000
Sm 0.8573 0.1427 0.5000
Ho 0.1467 0.5110 0.6657
Ho 0.4890 0.8533 0.3343
Ho 0.1589 0.1589 0.6157
Ho 0.1643 0.1643 0.0578
Ho 0.8411 0.8411 0.3843
Ho 0.8357 0.8357 0.9422
Ho 0.8533 0.4890 0.3343
Ho 0.5110 0.1467 0.6657
Mg 0.5205 0.5205 0.7160
Mg 0.4795 0.4795 0.2840

- symmetry = C2/m
- Fermi-level density of states (states/eV/f.u.) = 10.44
- formation energy (kJ/mol of formula units) = 60

---

Respective E_tot values: -3.176, -3.293, -3.980, -3.237, -3.404, -2.399, -4.335, -3.726, -4.183, -4.352, -4.318, -4.240 eV per atom.